## i
The following is a DFT calculation (GGA-PBE) of crystalline VWSN2 at its relaxed geometry.

Summary:
- Total magnetization: 2.2 μB/cell
- Space-group type: No. 123
- Density of states at the Fermi level: 4.123 states/eV/cell

a = 3.7366 Å, b = 3.7366 Å, c = 4.6976 Å
α = 90.00°, β = 90.00°, γ = 90.00°
Last column: nearest neighbours and their distance in Å.
Fractional positions:
V  0.0000  0.0000  0.0000  4 N 1.87
W  0.5000  0.5000  0.5000  4 S 2.64
S  0.0000  0.0000  0.5000  2 V 2.35
N  0.0000  0.5000  0.0000  2 V 1.87
N  0.5000  0.0000  0.0000  2 V 1.87


## ii
The following is a DFT calculation (GGA-PBE) of crystalline VWSN2 at its relaxed geometry.

Summary:
- Total magnetization: 0.5 μB/cell
- Space-group type: No. 123
- Density of states at the Fermi level: 6.068 states/eV/cell

a = 3.8811 Å, b = 3.8811 Å, c = 4.8955 Å
α = 90.00°, β = 90.00°, γ = 90.00°
Last column: nearest neighbours and their distance in Å.
Fractional positions:
V  0.0000  0.0000  0.0000  4 S 2.74
W  0.5000  0.5000  0.5000  4 N 1.94
S  0.5000  0.5000  0.0000  2 W 2.45
N  0.0000  0.5000  0.5000  2 W 1.94
N  0.5000  0.0000  0.5000  2 W 1.94


Computed stability ranking, most favorable first: ii, i


## i
The following is a DFT calculation (GGA-PBE) of crystalline YVSN2 at its relaxed geometry.

Summary:
- Total magnetization: 0.0 μB/cell
- Space-group type: No. 123
- Density of states at the Fermi level: 1.799 states/eV/cell

a = 3.8504 Å, b = 3.8504 Å, c = 4.7034 Å
α = 90.00°, β = 90.00°, γ = 90.00°
Last column: nearest neighbours and their distance in Å.
Fractional positions:
Y  0.0000  0.0000  0.0000  4 S 2.72, 8 N 3.04
V  0.5000  0.5000  0.5000  4 N 1.93
S  0.5000  0.5000  0.0000  2 V 2.35
N  0.0000  0.5000  0.5000  2 V 1.93
N  0.5000  0.0000  0.5000  2 V 1.93


## ii
The following is a DFT calculation (GGA-PBE) of crystalline YVSN2 at its relaxed geometry.

Summary:
- Total magnetization: 0.0 μB/cell
- Space-group type: No. 123
- Density of states at the Fermi level: 14.507 states/eV/cell

a = 4.2273 Å, b = 4.2273 Å, c = 5.2652 Å
α = 90.00°, β = 90.00°, γ = 90.00°
Last column: nearest neighbours and their distance in Å.
Fractional positions:
Y  0.0000  0.0000  0.0000  4 N 2.11
V  0.5000  0.5000  0.5000  4 S 2.99
S  0.0000  0.0000  0.5000  2 Y 2.63
N  0.0000  0.5000  0.0000  2 Y 2.11
N  0.5000  0.0000  0.0000  2 Y 2.11


Computed stability ranking, most favorable first: i, ii


## i
The following is a DFT calculation (GGA-PBE) of crystalline VZnSN2 at its relaxed geometry.

Summary:
- Total magnetization: 0.4 μB/cell
- Space-group type: No. 123
- Density of states at the Fermi level: 1.445 states/eV/cell

a = 3.6879 Å, b = 3.6879 Å, c = 5.1763 Å
α = 90.00°, β = 90.00°, γ = 90.00°
Last column: nearest neighbours and their distance in Å.
Fractional positions:
V  0.0000  0.0000  0.0000  4 N 1.84
Zn  0.5000  0.5000  0.5000  4 S 2.61
S  0.0000  0.0000  0.5000  2 V 2.59, 4 Zn 2.61
N  0.0000  0.5000  0.0000  2 V 1.84
N  0.5000  0.0000  0.0000  2 V 1.84


## ii
The following is a DFT calculation (GGA-PBE) of crystalline VZnSN2 at its relaxed geometry.

Summary:
- Total magnetization: 0.0 μB/cell
- Space-group type: No. 123
- Density of states at the Fermi level: 5.873 states/eV/cell

a = 3.7135 Å, b = 3.7135 Å, c = 4.8450 Å
α = 90.00°, β = 90.00°, γ = 90.00°
Last column: nearest neighbours and their distance in Å.
Fractional positions:
V  0.0000  0.0000  0.0000  4 S 2.63
Zn  0.5000  0.5000  0.5000  4 N 1.86
S  0.5000  0.5000  0.0000  2 Zn 2.42, 4 V 2.63
N  0.0000  0.5000  0.5000  2 Zn 1.86
N  0.5000  0.0000  0.5000  2 Zn 1.86


Computed stability ranking, most favorable first: i, ii


## i
The following is a DFT calculation (GGA-PBE) of crystalline ZrVSN2 at its relaxed geometry.

Summary:
- Total magnetization: 0.0 μB/cell
- Space-group type: No. 123
- Density of states at the Fermi level: 3.384 states/eV/cell

a = 3.7814 Å, b = 3.7814 Å, c = 4.6235 Å
α = 90.00°, β = 90.00°, γ = 90.00°
Last column: nearest neighbours and their distance in Å.
Fractional positions:
Zr  0.0000  0.0000  0.0000  4 S 2.67, 8 N 2.99
V  0.5000  0.5000  0.5000  4 N 1.89
S  0.5000  0.5000  0.0000  2 V 2.31
N  0.0000  0.5000  0.5000  2 V 1.89
N  0.5000  0.0000  0.5000  2 V 1.89


## ii
The following is a DFT calculation (GGA-PBE) of crystalline ZrVSN2 at its relaxed geometry.

Summary:
- Total magnetization: 0.3 μB/cell
- Space-group type: No. 123
- Density of states at the Fermi level: 5.580 states/eV/cell

a = 4.0772 Å, b = 4.0772 Å, c = 5.1665 Å
α = 90.00°, β = 90.00°, γ = 90.00°
Last column: nearest neighbours and their distance in Å.
Fractional positions:
Zr  0.0000  0.0000  0.0000  4 N 2.04
V  0.5000  0.5000  0.5000  4 S 2.88
S  0.0000  0.0000  0.5000  2 Zr 2.58, 4 V 2.88
N  0.0000  0.5000  0.0000  2 Zr 2.04
N  0.5000  0.0000  0.0000  2 Zr 2.04


Computed stability ranking, most favorable first: i, ii


## i
The following is a DFT calculation (GGA-PBE) of crystalline ZrVS2N at its relaxed geometry.

Summary:
- Total magnetization: 0.4 μB/cell
- Space-group type: No. 123
- Density of states at the Fermi level: 2.731 states/eV/cell

a = 4.6654 Å, b = 4.6654 Å, c = 3.6140 Å
α = 90.00°, β = 90.00°, γ = 90.00°
Last column: nearest neighbours and their distance in Å.
Fractional positions:
Zr  0.0000  0.0000  0.0000  8 S 2.95, 4 N 3.30
V  0.5000  0.5000  0.5000  2 N 1.81
S  0.0000  0.5000  0.5000  2 V 2.33
S  0.5000  0.0000  0.5000  2 V 2.33
N  0.5000  0.5000  0.0000  2 V 1.81


## ii
The following is a DFT calculation (GGA-PBE) of crystalline ZrVS2N at its relaxed geometry.

Summary:
- Total magnetization: 0.2 μB/cell
- Space-group type: No. 123
- Density of states at the Fermi level: 4.791 states/eV/cell

a = 5.0271 Å, b = 5.0271 Å, c = 4.0147 Å
α = 90.00°, β = 90.00°, γ = 90.00°
Last column: nearest neighbours and their distance in Å.
Fractional positions:
Zr  0.0000  0.0000  0.0000  2 N 2.01
V  0.5000  0.5000  0.5000  8 S 3.22, 4 N 3.55
S  0.0000  0.5000  0.0000  2 Zr 2.51
S  0.5000  0.0000  0.0000  2 Zr 2.51
N  0.0000  0.0000  0.5000  2 Zr 2.01


Computed stability ranking, most favorable first: i, ii


## i
The following is a DFT calculation (GGA-PBE) of crystalline YWS2N at its relaxed geometry.

Summary:
- Total magnetization: 0.1 μB/cell
- Space-group type: No. 123
- Density of states at the Fermi level: 1.950 states/eV/cell

a = 4.8335 Å, b = 4.8335 Å, c = 3.8372 Å
α = 90.00°, β = 90.00°, γ = 90.00°
Last column: nearest neighbours and their distance in Å.
Fractional positions:
Y  0.0000  0.0000  0.0000  8 S 3.09, 4 N 3.42
W  0.5000  0.5000  0.5000  2 N 1.92
S  0.0000  0.5000  0.5000  2 W 2.42
S  0.5000  0.0000  0.5000  2 W 2.42
N  0.5000  0.5000  0.0000  2 W 1.92


## ii
The following is a DFT calculation (GGA-PBE) of crystalline YWS2N at its relaxed geometry.

Summary:
- Total magnetization: 2.0 μB/cell
- Space-group type: No. 123
- Density of states at the Fermi level: 2.115 states/eV/cell

a = 5.1772 Å, b = 5.1772 Å, c = 4.2831 Å
α = 90.00°, β = 90.00°, γ = 90.00°
Last column: nearest neighbours and their distance in Å.
Fractional positions:
Y  0.0000  0.0000  0.0000  2 N 2.14
W  0.5000  0.5000  0.5000  8 S 3.36, 4 N 3.66
S  0.0000  0.5000  0.0000  2 Y 2.59
S  0.5000  0.0000  0.0000  2 Y 2.59
N  0.0000  0.0000  0.5000  2 Y 2.14


Computed stability ranking, most favorable first: i, ii


## i
The following is a DFT calculation (GGA-PBE) of crystalline ZnWSN2 at its relaxed geometry.

Summary:
- Total magnetization: 0.0 μB/cell
- Space-group type: No. 123
- Density of states at the Fermi level: 1.489 states/eV/cell

a = 3.8709 Å, b = 3.8709 Å, c = 5.0851 Å
α = 90.00°, β = 90.00°, γ = 90.00°
Last column: nearest neighbours and their distance in Å.
Fractional positions:
Zn  0.0000  0.0000  0.0000  4 S 2.74
W  0.5000  0.5000  0.5000  4 N 1.94
S  0.5000  0.5000  0.0000  2 W 2.54, 4 Zn 2.74
N  0.0000  0.5000  0.5000  2 W 1.94
N  0.5000  0.0000  0.5000  2 W 1.94


## ii
The following is a DFT calculation (GGA-PBE) of crystalline ZnWSN2 at its relaxed geometry.

Summary:
- Total magnetization: 0.0 μB/cell
- Space-group type: No. 123
- Density of states at the Fermi level: 3.347 states/eV/cell

a = 3.7379 Å, b = 3.7379 Å, c = 4.6468 Å
α = 90.00°, β = 90.00°, γ = 90.00°
Last column: nearest neighbours and their distance in Å.
Fractional positions:
Zn  0.0000  0.0000  0.0000  4 N 1.87
W  0.5000  0.5000  0.5000  4 S 2.64
S  0.0000  0.0000  0.5000  2 Zn 2.32
N  0.0000  0.5000  0.0000  2 Zn 1.87
N  0.5000  0.0000  0.0000  2 Zn 1.87


Computed stability ranking, most favorable first: i, ii


## i
The following is a DFT calculation (GGA-PBE) of crystalline ZrWSN2 at its relaxed geometry.

Summary:
- Total magnetization: 0.0 μB/cell
- Space-group type: No. 123
- Density of states at the Fermi level: 4.147 states/eV/cell

a = 3.9209 Å, b = 3.9209 Å, c = 4.7691 Å
α = 90.00°, β = 90.00°, γ = 90.00°
Last column: nearest neighbours and their distance in Å.
Fractional positions:
Zr  0.0000  0.0000  0.0000  4 S 2.77, 8 N 3.09
W  0.5000  0.5000  0.5000  4 N 1.96
S  0.5000  0.5000  0.0000  2 W 2.38
N  0.0000  0.5000  0.5000  2 W 1.96
N  0.5000  0.0000  0.5000  2 W 1.96


## ii
The following is a DFT calculation (GGA-PBE) of crystalline ZrWSN2 at its relaxed geometry.

Summary:
- Total magnetization: 2.2 μB/cell
- Space-group type: No. 123
- Density of states at the Fermi level: 3.365 states/eV/cell

a = 4.1297 Å, b = 4.1297 Å, c = 5.0629 Å
α = 90.00°, β = 90.00°, γ = 90.00°
Last column: nearest neighbours and their distance in Å.
Fractional positions:
Zr  0.0000  0.0000  0.0000  4 N 2.06
W  0.5000  0.5000  0.5000  4 S 2.92, 8 N 3.27
S  0.0000  0.0000  0.5000  2 Zr 2.53
N  0.0000  0.5000  0.0000  2 Zr 2.06
N  0.5000  0.0000  0.0000  2 Zr 2.06


Computed stability ranking, most favorable first: i, ii